[1]
A geometry-optimized AcAg2Au structure, computed with PBE-GGA.

extended XYZ file:
```
8
Lattice="-1.330 -3.194 -2.793 1.715 -2.899 2.498 -10.219 0.595 4.185" Properties=species:S:1:pos:R:3 pbc="T T T"
Ac -6.819 -2.918 4.813
Ac -3.016 -2.580 -0.924
Ag -5.054 -1.229 2.042
Ag -4.780 -4.268 1.847
Ag -9.694 -3.189 2.953
Ag -0.140 -2.309 0.937
Au -7.297 -2.971 1.562
Au -2.537 -2.527 2.328
```

Properties
total magnetic moment = 0.0 μB per formula unit
ρ = 10.49 g/cm³
offset from the most stable computed form = 0.023 eV per atom
D(E_F) = 1.9 states/eV/f.u.


[2]
A geometry-optimized AlPb4 structure, computed with PBE-GGA.

extended XYZ file:
```
5
Lattice="4.789 -2.880 -2.034 -1.810 -2.504 5.081 -4.363 -0.316 -4.029" Properties=species:S:1:pos:R:3 pbc="T T T"
Al 0.000 0.000 0.000
Pb 2.395 -1.440 -1.017
Pb -0.692 -2.850 -0.491
Pb -0.905 -1.252 2.541
Pb -2.181 -0.158 -2.015
```

Properties
total magnetic moment = 0.0 μB per formula unit
ρ = 8.78 g/cm³
raw total energy = -17.41 eV per cell
D(E_F) = 3.3 states/eV/f.u.


[3]
A geometry-optimized NaMnGaTe3 structure, computed with PBE-GGA.

extended XYZ file:
```
12
Lattice="3.884 0.000 0.000 0.000 8.603 -0.393 0.000 -2.597 10.134" Properties=species:S:1:pos:R:3 pbc="T T T"
Na 0.971 1.308 2.811
Na 2.913 4.698 6.930
Mn 0.971 5.215 1.386
Mn 2.913 0.792 8.355
Ga 0.971 -0.535 5.640
Ga 2.913 6.542 4.101
Te 2.913 7.201 1.461
Te 0.971 -1.195 8.280
Te 0.971 4.486 4.025
Te 2.913 1.521 5.715
Te 2.913 3.277 0.954
Te 0.971 2.729 8.787
```

Properties
total magnetic moment = 3.5 μB per formula unit
ρ = 5.26 g/cm³
energy relative to the elements, uncorrected = -0.35 eV/atom
D(E_F) = 2.3 states/eV/f.u.